Entry 1:
Here is a geometry-optimized Nd3Er structure from Alexandria via LeMat-Bulk. Energies are from PBE.

Cell lengths 3.6849, 6.3397, 6.9287 Å; angles 117.23, 105.42, 90.00 degrees
Positions (direct):
Nd 0.2525 0.5855 0.5049
Er 0.0000 0.0011 0.0000
Nd 0.5000 0.4995 0.0000
Nd 0.7475 0.0806 0.4951

Distance to the lowest polymorph of the same formula (meV per atom): 14.1
Final energy (eV/f.u.): -18.75
Formation energy from the elements (eV per formula unit): 0.12
Space group: No. 44

=====

Entry 2:
Here is a geometry-optimized Pr3ZnCu2 structure from Alexandria via LeMat-Bulk. Energies are from PBE.

Cell lengths 3.6648, 5.1622, 8.1520 Å; angles 108.46, 90.00, 90.00 degrees
Positions (direct):
Pr 0.5000 0.8293 0.6587
Cu 0.0000 0.6598 0.3196
Pr 0.5000 0.5000 0.0000
Cu 0.0000 0.3402 0.6804
Zn 0.0000 0.0000 0.0000
Pr 0.5000 0.1707 0.3413

Distance to the lowest polymorph of the same formula (meV per atom): 4.4
Final energy (eV/f.u.): -24.88
Formation energy from the elements (eV per formula unit): -1.07
Space group: No. 65

=====

Entry 3:
Here is a geometry-optimized TbHoTl structure from Alexandria via LeMat-Bulk. Energies are from PBE.

Cell lengths 3.6824, 5.2527, 5.2527 Å; angles 120.00, 90.00, 90.00 degrees
Positions (direct):
Ho 0.9128 0.0000 0.0000
Tl 0.7098 0.6667 0.3333
Tb 0.3773 0.3333 0.6667

Distance to the lowest polymorph of the same formula (meV per atom): 119.5
Final energy (eV/f.u.): -11.99
Formation energy from the elements (eV per formula unit): -0.42
Space group: No. 156